Record 1
First-principles (GGA-PBE) data for RbSrY3 after structural relaxation, as listed in Alexandria via LeMat-Bulk.

Cell and atoms, written as POSCAR:
```
RbSrY3
1.0
5.765 0.000 0.000
0.000 5.765 0.000
0.000 0.000 5.765
Rb Y Sr
1 3 1
direct
0.000 0.000 0.000 Rb
0.000 0.500 0.000 Y
0.500 0.000 0.000 Y
0.000 0.000 0.500 Y
0.500 0.500 0.500 Sr
```

## Properties
Magnetization (μB/atom): 0.000
Theoretical density (g cm⁻³): 3.81
Symmetry: Pm-3m
Energy of formation (eV per atom): 1.00
Electronic total energy (eV/atom): -3.40

=====

Record 2
First-principles (GGA-PBE) data for Mg5In2Pd2Ru after structural relaxation, as listed in Alexandria via LeMat-Bulk.

Cell and atoms, written as POSCAR:
```
Mg5In2Pd2Ru
1.0
-3.057 -0.321 1.261
2.406 -10.033 3.276
3.490 3.927 9.465
Mg In Pd Ru
10 4 4 2
direct
0.500 0.000 0.500 Mg
0.500 0.556 0.689 Mg
0.500 0.500 0.000 Mg
0.500 0.944 0.189 Mg
0.500 0.811 0.944 Mg
0.500 0.444 0.311 Mg
0.500 0.689 0.444 Mg
0.500 0.056 0.811 Mg
0.500 0.311 0.556 Mg
0.500 0.189 0.056 Mg
0.000 0.175 0.325 In
0.000 0.825 0.675 In
0.000 0.325 0.825 In
0.000 0.675 0.175 In
0.000 0.863 0.363 Pd
0.000 0.137 0.637 Pd
0.000 0.637 0.863 Pd
0.000 0.363 0.137 Pd
0.000 0.000 0.000 Ru
0.000 0.500 0.500 Ru
```

## Properties
Magnetization (μB/atom): 0.000
Theoretical density (g cm⁻³): 5.67
Symmetry: P4/mbm
Energy of formation (eV per atom): -0.26
Electronic total energy (eV/atom): -3.57

=====

Record 3
First-principles (GGA-PBE) data for Fe2Ni2Pd5 after structural relaxation, as listed in Alexandria via LeMat-Bulk.

Cell and atoms, written as POSCAR:
```
Fe2Ni2Pd5
1.0
0.760 -2.307 8.181
-6.772 -2.700 4.436
2.814 -1.374 -7.939
Pd Ni Fe
10 4 4
direct
0.359 0.591 0.146 Pd
0.637 0.088 0.866 Pd
0.137 0.271 0.549 Pd
0.859 0.713 0.767 Pd
0.138 0.132 0.770 Pd
0.277 0.729 0.866 Pd
0.777 0.912 0.549 Pd
0.554 0.409 0.767 Pd
0.638 0.868 0.006 Pd
0.054 0.287 0.146 Pd
0.167 0.860 0.367 Ni
0.007 0.700 0.367 Ni
0.667 0.300 0.307 Ni
0.507 0.140 0.307 Ni
0.904 0.471 0.875 Fe
0.793 0.500 0.293 Fe
0.404 0.529 0.432 Fe
0.293 0.000 0.293 Fe
```

## Properties
Magnetization (μB/atom): 1.000
Theoretical density (g cm⁻³): 9.93
Symmetry: Ima2
Energy of formation (eV per atom): 0.01
Electronic total energy (eV/atom): -6.04